No. 1
DFT (PBE) results for a relaxed KRbSi3 crystal.

Results
E: -1.9471 eV/atom
Distance to the lowest polymorph of the same formula: 161 meV per atom
Fermi-level density of states: 5.43 states/eV/f.u.
Raw formation energy: 39.66 kcal/mol of atoms

a b c (Å): 5.843 5.843 5.843
angles (deg): 90.00 90.00 90.00
Positions (direct):
K 0.000 0.000 0.000
Rb 0.500 0.500 0.500
Si 0.000 0.500 0.500
Si 0.500 0.000 0.500
Si 0.500 0.500 0.000


No. 2
DFT (PBE) results for a relaxed Na4MgTl5 crystal.

Results
E: -1.9697 eV/atom
Fermi-level density of states: 3.70 states/eV/f.u.
Energy relative to the elements: -0.10 eV per atom

a b c (Å): 3.557 3.557 21.879
angles (deg): 90.00 90.00 90.00
Positions (direct):
Na 0.000 0.000 0.102
Na 0.000 0.000 0.307
Na 0.000 0.000 0.693
Na 0.000 0.000 0.898
Mg 0.000 0.000 0.500
Tl 0.500 0.500 0.000
Tl 0.500 0.500 0.204
Tl 0.500 0.500 0.408
Tl 0.500 0.500 0.592
Tl 0.500 0.500 0.796


No. 3
DFT (PBE) results for a relaxed BaZn2Ag6 crystal.

Results
E: -2.2146 eV/atom
Distance to the lowest polymorph of the same formula: 262 meV per atom
Fermi-level density of states: 3.89 states/eV/f.u.
Energy relative to the elements: 0.18 eV per atom

a b c (Å): 8.655 8.655 8.655
angles (deg): 60.00 60.00 60.00
Positions (direct):
Ba 0.125 0.125 0.125
Ba 0.875 0.875 0.875
Zn 0.000 0.500 0.500
Zn 0.500 0.000 0.500
Zn 0.500 0.500 0.000
Zn 0.500 0.500 0.500
Ag 0.139 0.139 0.611
Ag 0.139 0.611 0.139
Ag 0.139 0.611 0.611
Ag 0.389 0.389 0.861
Ag 0.389 0.861 0.389
Ag 0.389 0.861 0.861
Ag 0.611 0.139 0.139
Ag 0.611 0.139 0.611
Ag 0.611 0.611 0.139
Ag 0.861 0.389 0.389
Ag 0.861 0.389 0.861
Ag 0.861 0.861 0.389